Here is a geometry-optimized ZrTa2 structure from Alexandria via LeMat-Bulk. Energies are from GGA-PBE.

Cell lengths 5.590, 5.590, 17.996 Å; angles 90.00, 90.00, 120.00 degrees
Fractional positions:
1 Zr 0.000 0.000 0.094
2 Zr 0.000 0.000 0.406
3 Zr 0.000 0.000 0.594
4 Zr 0.000 0.000 0.906
5 Zr 0.333 0.667 0.156
6 Zr 0.333 0.667 0.344
7 Zr 0.667 0.333 0.656
8 Zr 0.667 0.333 0.844
9 Ta 0.000 0.500 0.000
10 Ta 0.000 0.500 0.500
11 Ta 0.163 0.325 0.750
12 Ta 0.163 0.837 0.750
13 Ta 0.325 0.163 0.250
14 Ta 0.333 0.667 0.626
15 Ta 0.333 0.667 0.874
16 Ta 0.500 0.000 0.000
17 Ta 0.500 0.000 0.500
18 Ta 0.500 0.500 0.000
19 Ta 0.500 0.500 0.500
20 Ta 0.667 0.333 0.126
21 Ta 0.667 0.333 0.374
22 Ta 0.675 0.837 0.750
23 Ta 0.837 0.163 0.250
24 Ta 0.837 0.675 0.250

Properties
* energy of formation from the pure elements: 0.051 eV/atom
* symmetry: P6_3/mmc

***

Here is a geometry-optimized ZrTa2 structure from Alexandria via LeMat-Bulk. Energies are from GGA-PBE.

Cell lengths 3.388, 3.388, 10.392 Å; angles 90.00, 90.00, 90.00 degrees
Fractional positions:
1 Zr 0.000 0.000 0.000
2 Zr 0.500 0.500 0.500
3 Ta 0.000 0.000 0.319
4 Ta 0.000 0.000 0.681
5 Ta 0.500 0.500 0.181
6 Ta 0.500 0.500 0.819

Properties
* energy of formation from the pure elements: 0.085 eV/atom
* symmetry: I4/mmm

***

Here is a geometry-optimized ZrTa structure from Alexandria via LeMat-Bulk. Energies are from GGA-PBE.

Cell lengths 6.866, 6.866, 6.866 Å; angles 90.00, 90.00, 90.00 degrees
Fractional positions:
1 Zr 0.125 0.125 0.125
2 Zr 0.125 0.625 0.625
3 Zr 0.375 0.375 0.875
4 Zr 0.375 0.875 0.375
5 Zr 0.625 0.125 0.625
6 Zr 0.625 0.625 0.125
7 Zr 0.875 0.375 0.375
8 Zr 0.875 0.875 0.875
9 Ta 0.125 0.125 0.625
10 Ta 0.125 0.625 0.125
11 Ta 0.375 0.375 0.375
12 Ta 0.375 0.875 0.875
13 Ta 0.625 0.125 0.125
14 Ta 0.625 0.625 0.625
15 Ta 0.875 0.375 0.875
16 Ta 0.875 0.875 0.375

Properties
* energy of formation from the pure elements: 0.138 eV/atom
* symmetry: Fd-3m

***

Here is a geometry-optimized ZrTa structure from Alexandria via LeMat-Bulk. Energies are from GGA-PBE.

Cell lengths 2.900, 2.900, 4.878 Å; angles 90.00, 90.00, 90.00 degrees
Fractional positions:
1 Zr 0.000 0.000 0.000
2 Ta 0.500 0.500 0.500

Properties
* energy of formation from the pure elements: 0.209 eV/atom
* symmetry: P4/mmm